(1)
Here is a relaxed Tb3Nd3Y2 crystal from Alexandria via LeMat-Bulk. Energies are from GGA-PBE.

Structure (CIF):
```
data_Tb3Nd3Y2
_chemical_formula_sum 'Tb6 Nd6 Y4'
_symmetry_space_group_name_H-M 'P m m n'
_symmetry_Int_Tables_number 59
_cell_length_a 5.7754
_cell_length_b 14.7031
_cell_length_c 6.3458
_cell_angle_alpha 90.00
_cell_angle_beta 90.00
_cell_angle_gamma 90.00
loop_
_symmetry_equiv_pos_as_xyz
'x,y,z'
'-x,-y,-z'
'-x+1/2,-y+1/2,z'
'x+1/2,y+1/2,-z'
'x+1/2,-y,-z'
'-x+1/2,y,z'
'-x,y+1/2,-z'
'x,-y+1/2,z'
loop_
_atom_site_label
_atom_site_type_symbol
_atom_site_fract_x
_atom_site_fract_y
_atom_site_fract_z
Tb1 Tb 0.2500 0.0009 0.1662
Tb2 Tb 0.2500 0.2500 0.1727
Nd1 Nd 0.2500 0.1247 0.6708
Nd2 Nd 0.2500 0.7500 0.1607
Y1 Y 0.2500 0.6238 0.6642
```

DOS at the Fermi energy ... 29.19 states/eV per cell
Energy of formation ... 22 meV per atom

---

(2)
Here is a relaxed Y6ErTm3 crystal from Alexandria via LeMat-Bulk. Energies are from GGA-PBE.

Structure (CIF):
```
data_Y6ErTm3
_chemical_formula_sum 'Y36 Er6 Tm18'
_symmetry_space_group_name_H-M 'R -3'
_symmetry_Int_Tables_number 148
_symmetry_space_group_name_Hall '-R 3'
_cell_length_a 11.3409
_cell_length_b 11.3409
_cell_length_c 17.7922
_cell_angle_alpha 90.00
_cell_angle_beta 90.00
_cell_angle_gamma 120.00
loop_
_atom_site_label
_atom_site_type_symbol
_atom_site_fract_x
_atom_site_fract_y
_atom_site_fract_z
Y1 Y 0.0731 0.5370 0.3251
Y2 Y 0.0962 0.1936 0.8605
Er1 Er 0.0000 0.0000 0.0000
Er2 Er 0.0000 0.0000 0.5000
Tm1 Tm 0.0174 0.5099 0.1153
```

DOS at the Fermi energy ... 92.45 states/eV per cell
Energy of formation ... 320 meV per atom

---

(3)
Here is a relaxed Cr2Cd2Tc crystal from Alexandria via LeMat-Bulk. Energies are from GGA-PBE.

Structure (CIF):
```
data_Cr2Cd2Tc
_chemical_formula_sum 'Cr4 Cd4 Tc2'
_symmetry_space_group_name_H-M 'I 4/m m m'
_symmetry_Int_Tables_number 139
_symmetry_space_group_name_Hall '-I 4 2'
_cell_length_a 3.9187
_cell_length_b 3.9187
_cell_length_c 11.4178
_cell_angle_alpha 90.00
_cell_angle_beta 90.00
_cell_angle_gamma 90.00
loop_
_atom_site_label
_atom_site_type_symbol
_atom_site_fract_x
_atom_site_fract_y
_atom_site_fract_z
Cr1 Cr 0.0000 0.0000 0.0779
Cd1 Cd 0.0000 0.5000 0.2500
Tc1 Tc 0.0000 0.0000 0.5000
```

DOS at the Fermi energy ... 9.25 states/eV per cell
Energy of formation ... 942 meV per atom

---

(4)
Here is a relaxed TiVGaRe crystal from Alexandria via LeMat-Bulk. Energies are from GGA-PBE.

Structure (CIF):
```
data_TiVGaRe
_chemical_formula_sum 'Ti4 V4 Ga4 Re4'
_symmetry_space_group_name_H-M 'F -4 3 m'
_symmetry_Int_Tables_number 216
_symmetry_space_group_name_Hall 'F -4 2 3'
_cell_length_a 6.1743
_cell_length_b 6.1743
_cell_length_c 6.1743
_cell_angle_alpha 90.00
_cell_angle_beta 90.00
_cell_angle_gamma 90.00
loop_
_atom_site_label
_atom_site_type_symbol
_atom_site_fract_x
_atom_site_fract_y
_atom_site_fract_z
Ti1 Ti 0.0000 0.0000 0.0000
V1 V 0.0000 0.0000 0.5000
Ga1 Ga 0.2500 0.2500 0.2500
Re1 Re 0.2500 0.2500 0.7500
```

DOS at the Fermi energy ... 21.06 states/eV per cell
Energy of formation ... -251 meV per atom

---

(5)
Here is a relaxed TlMo2Pt crystal from Alexandria via LeMat-Bulk. Energies are from GGA-PBE.

Structure (CIF):
```
data_TlMo2Pt
_chemical_formula_sum 'Tl1 Mo2 Pt1'
_symmetry_space_group_name_H-M 'P 4 m m'
_symmetry_Int_Tables_number 99
_cell_length_a 3.3484
_cell_length_b 3.3484
_cell_length_c 6.2676
_cell_angle_alpha 90.00
_cell_angle_beta 90.00
_cell_angle_gamma 90.00
loop_
_symmetry_equiv_pos_as_xyz
'x,y,z'
'-y,x,z'
'-x,-y,z'
'y,-x,z'
'-x,y,z'
'y,x,z'
'x,-y,z'
'-y,-x,z'
loop_
_atom_site_label
_atom_site_type_symbol
_atom_site_fract_x
_atom_site_fract_y
_atom_site_fract_z
Tl1 Tl 0.0000 0.0000 0.0000
Mo1 Mo 0.0000 0.0000 0.4870
Mo2 Mo 0.5000 0.5000 0.2898
Pt1 Pt 0.5000 0.5000 0.7446
```

DOS at the Fermi energy ... 2.49 states/eV per cell
Offset from the most stable computed form ... 0.0 meV per atom
Energy of formation ... 263 meV per atom

---

(6)
Here is a relaxed Ca3Ga9Au2 crystal from Alexandria via LeMat-Bulk. Energies are from GGA-PBE.

Structure (CIF):
```
data_Ca3Ga9Au2
_chemical_formula_sum 'Ca6 Ga18 Au4'
_symmetry_space_group_name_H-M 'I m m m'
_symmetry_Int_Tables_number 71
_symmetry_space_group_name_Hall '-I 2 2'
_cell_length_a 4.4079
_cell_length_b 9.7834
_cell_length_c 12.8652
_cell_angle_alpha 90.00
_cell_angle_beta 90.00
_cell_angle_gamma 90.00
loop_
_atom_site_label
_atom_site_type_symbol
_atom_site_fract_x
_atom_site_fract_y
_atom_site_fract_z
Ca1 Ca 0.0000 0.0000 0.0000
Ca2 Ca 0.0000 0.0000 0.3028
Ga1 Ga 0.0000 0.2790 0.1444
Ga2 Ga 0.0000 0.3693 0.3408
Ga3 Ga 0.0000 0.5000 0.0000
Au1 Au 0.0000 0.1910 0.5000
```

DOS at the Fermi energy ... 5.51 states/eV per cell
Energy of formation ... -461 meV per atom

---

(7)
Here is a relaxed Zn4CrSb crystal from Alexandria via LeMat-Bulk. Energies are from GGA-PBE.

Structure (CIF):
```
data_Zn4CrSb
_chemical_formula_sum 'Zn16 Cr4 Sb4'
_symmetry_space_group_name_H-M 'F -4 3 m'
_symmetry_Int_Tables_number 216
_symmetry_space_group_name_Hall 'F -4 2 3'
_cell_length_a 7.4213
_cell_length_b 7.4213
_cell_length_c 7.4213
_cell_angle_alpha 90.00
_cell_angle_beta 90.00
_cell_angle_gamma 90.00
loop_
_atom_site_label
_atom_site_type_symbol
_atom_site_fract_x
_atom_site_fract_y
_atom_site_fract_z
Zn1 Zn 0.1236 0.1236 0.1236
Cr1 Cr 0.2500 0.2500 0.7500
Sb1 Sb 0.0000 0.0000 0.5000
```

E_form (uncorrected) ... 0.22 eV/atom
DOS at the Fermi energy ... 14.90 states/eV per cell

---

(8)
Here is a relaxed SrCa2SmTl4 crystal from Alexandria via LeMat-Bulk. Energies are from GGA-PBE.

Structure (CIF):
```
data_SrCa2SmTl4
_chemical_formula_sum 'Sr3 Ca6 Sm3 Tl12'
_symmetry_space_group_name_H-M 'R -3 m'
_symmetry_Int_Tables_number 166
_symmetry_space_group_name_Hall '-R 3 2"'
_cell_length_a 5.5634
_cell_length_b 5.5634
_cell_length_c 27.2530
_cell_angle_alpha 90.00
_cell_angle_beta 90.00
_cell_angle_gamma 120.00
loop_
_atom_site_label
_atom_site_type_symbol
_atom_site_fract_x
_atom_site_fract_y
_atom_site_fract_z
Sr1 Sr 0.0000 0.0000 0.0000
Ca1 Ca 0.0000 0.0000 0.2503
Sm1 Sm 0.0000 0.0000 0.5000
Tl1 Tl 0.0000 0.0000 0.1266
Tl2 Tl 0.0000 0.0000 0.3784
```

DOS at the Fermi energy ... 15.33 states/eV per cell
Energy of formation ... -413 meV per atom

---

(9)
Here is a relaxed Ac2YS4 crystal from Alexandria via LeMat-Bulk. Energies are from GGA-PBE.

Structure (CIF):
```
data_Ac2YS4
_chemical_formula_sum 'Ac8 Y4 S16'
_symmetry_space_group_name_H-M 'C m c m'
_symmetry_Int_Tables_number 63
_symmetry_space_group_name_Hall '-C 2c 2'
_cell_length_a 3.9841
_cell_length_b 14.2324
_cell_length_c 13.8148
_cell_angle_alpha 90.00
_cell_angle_beta 90.00
_cell_angle_gamma 90.00
loop_
_atom_site_label
_atom_site_type_symbol
_atom_site_fract_x
_atom_site_fract_y
_atom_site_fract_z
Ac1 Ac 0.0000 0.1302 0.0763
Y1 Y 0.0000 0.3714 0.2500
S1 S 0.0000 0.0089 0.2500
S2 S 0.0000 0.2163 0.6283
S3 S 0.0000 0.5000 0.0000
```

E_form (uncorrected) ... -1.99 eV/atom
DOS at the Fermi energy ... 8.18 states/eV per cell

---

(10)
Here is a relaxed LaZn5Rh2 crystal from Alexandria via LeMat-Bulk. Energies are from GGA-PBE.

Structure (CIF):
```
data_LaZn5Rh2
_chemical_formula_sum 'La2 Zn10 Rh4'
_symmetry_space_group_name_H-M 'I m m m'
_symmetry_Int_Tables_number 71
_symmetry_space_group_name_Hall '-I 2 2'
_cell_length_a 3.9974
_cell_length_b 7.6398
_cell_length_c 9.3807
_cell_angle_alpha 90.00
_cell_angle_beta 90.00
_cell_angle_gamma 90.00
loop_
_atom_site_label
_atom_site_type_symbol
_atom_site_fract_x
_atom_site_fract_y
_atom_site_fract_z
La1 La 0.0000 0.0000 0.0000
Zn1 Zn 0.0000 0.1808 0.3460
Zn2 Zn 0.0000 0.5000 0.0000
Rh1 Rh 0.0000 0.5000 0.2660
```

DOS at the Fermi energy ... 7.55 states/eV per cell
Energy of formation ... -405 meV per atom

---

(11)
Here is a relaxed Ce4GaGe2 crystal from Alexandria via LeMat-Bulk. Energies are from GGA-PBE.

Structure (CIF):
```
data_Ce4GaGe2
_chemical_formula_sum 'Ce12 Ga3 Ge6'
_symmetry_space_group_name_H-M 'R -3 m'
_symmetry_Int_Tables_number 166
_symmetry_space_group_name_Hall '-R 3 2"'
_cell_length_a 4.4524
_cell_length_b 4.4524
_cell_length_c 32.9380
_cell_angle_alpha 90.00
_cell_angle_beta 90.00
_cell_angle_gamma 120.00
loop_
_atom_site_label
_atom_site_type_symbol
_atom_site_fract_x
_atom_site_fract_y
_atom_site_fract_z
Ce1 Ce 0.0000 0.0000 0.1170
Ce2 Ce 0.0000 0.0000 0.3104
Ga1 Ga 0.0000 0.0000 0.5000
Ge1 Ge 0.0000 0.0000 0.4050
```

DOS at the Fermi energy ... 58.66 states/eV per cell
Offset from the most stable computed form ... 182.9 meV per atom
Energy of formation ... -391 meV per atom

---

(12)
Here is a relaxed KTl2Cl crystal from Alexandria via LeMat-Bulk. Energies are from GGA-PBE.

Structure (CIF):
```
data_KTl2Cl
_chemical_formula_sum 'K2 Tl4 Cl2'
_symmetry_space_group_name_H-M 'I m m 2'
_symmetry_Int_Tables_number 44
_cell_length_a 4.2167
_cell_length_b 5.6916
_cell_length_c 11.1480
_cell_angle_alpha 90.00
_cell_angle_beta 90.00
_cell_angle_gamma 90.00
loop_
_symmetry_equiv_pos_as_xyz
'x,y,z'
'-x,-y,z'
'-x,y,z'
'x,-y,z'
'x+1/2,y+1/2,z+1/2'
'-x+1/2,-y+1/2,z+1/2'
'-x+1/2,y+1/2,z+1/2'
'x+1/2,-y+1/2,z+1/2'
loop_
_atom_site_label
_atom_site_type_symbol
_atom_site_fract_x
_atom_site_fract_y
_atom_site_fract_z
K1 K 0.0000 0.0000 0.0000
Tl1 Tl 0.0000 0.0000 0.5702
Tl2 Tl 0.0000 0.5000 0.7879
Cl1 Cl 0.0000 0.5000 0.3021
```

E_form (uncorrected) ... -0.52 eV/atom
DOS at the Fermi energy ... 2.54 states/eV per cell
Offset from the most stable computed form ... 189.2 meV per atom